This record from the Alexandria database describes a geometry-optimized BaNi3F structure. The functional is PBE with a Hubbard U.

Calculated values
Mass density ... 5.7 Mg/m³
Space group ... Pm-3m, No. 221
E above lowest polymorph ... 0.000 eV per atom
Volume ... 97.62 Å³ per cell

Unit cell a=4.604 b=4.604 c=4.604 alpha=90.00 beta=90.00 gamma=90.00
Fractional positions:
1 Ba 0.000 0.000 0.000
2 Ni 0.000 0.500 0.500
3 Ni 0.500 0.000 0.500
4 Ni 0.500 0.500 0.000
5 F 0.500 0.500 0.500